1.
Below is crystalline HoNbH at its relaxed geometry, with properties calculated at the PBE level.

abc: 3.4356 7.0404 8.7300
angles: 90.00 90.00 90.00
Fractional coordinates of all 12 atoms:
H: 0.2506 0.6252 0.6092
H: 0.7506 0.8748 0.3908
H: 0.7494 0.3748 0.3908
H: 0.2494 0.1252 0.6092
Nb: 0.2500 0.8750 0.0494
Nb: 0.7500 0.6250 0.9506
Nb: 0.7500 0.1250 0.9506
Nb: 0.2500 0.3750 0.0494
Ho: 0.2502 0.6250 0.3506
Ho: 0.7502 0.8750 0.6494
Ho: 0.7498 0.3750 0.6494
Ho: 0.2498 0.1250 0.3506

Values from the calculation:
E_tot   -5.88 eV per atom
DOS at the Fermi energy   2.6 states/eV/f.u.
V   17.6 Å³/atom
Space group   Pmmn (59)

2.
Below is crystalline YTm3In2 at its relaxed geometry, with properties calculated at the PBE level.

abc: 5.2806 9.0277 9.1809
angles: 124.46 90.00 107.01
Each line ends with the local moment (μB).
Fractional coordinates of all 12 atoms:
Y: 0.8687 0.7374 0.9043  0.01
Y: 0.1313 0.2626 0.0957  0.01
Tm: 0.3079 0.6159 0.6056  0.02
Tm: 0.9418 0.8835 0.5979  0.09
Tm: 0.6152 0.2304 0.6846  0.07
Tm: 0.3848 0.7696 0.3154  0.07
Tm: 0.0582 0.1165 0.4021  0.09
Tm: 0.6921 0.3841 0.3944  0.02
In: 0.5232 0.0464 0.8755  0.00
In: 0.4768 0.9536 0.1245  0.00
In: 0.7717 0.5435 0.1381  0.00
In: 0.2283 0.4565 0.8619  0.00

Values from the calculation:
DOS at the Fermi energy   6.4 states/eV/f.u.
V   28.1 Å³/atom
Space group   C2/m (12)
Energy of formation   -240.1 meV/atom